Entry from Alexandria: crystalline Os2PbBr at its relaxed geometry (PBE).

Calculated values
relative energy among the computed polymorphs = 96.99 kJ/mol of atoms
formation energy (no corrections) = 1.495 eV per atom

a b c (Å): 3.2662 3.2662 6.6731
angles (deg): 90.00 90.00 90.00
With the nearest neighbours (Å) after each atom.
Element x y z (fractional)
1 Os 0.0000 0.0000 0.2255  4 Br 2.76, 4 Pb 2.95, 1 Os 3.01
2 Os 0.0000 0.0000 0.7745  4 Br 2.76, 4 Pb 2.95, 1 Os 3.01
3 Pb 0.5000 0.5000 0.5000  8 Os 2.95, 4 Pb 3.27
4 Br 0.5000 0.5000 0.0000  8 Os 2.76

***

Entry from Alexandria: crystalline Ta2TiCr2 at its relaxed geometry (PBE).

Calculated values
formation enthalpy at 0 K = 286 meV per atom

a b c (Å): 6.9809 6.9809 3.2657
angles (deg): 90.00 90.00 90.00
With the nearest neighbours (Å) after each atom.
Element x y z (fractional)
1 Ta 0.1600 0.3400 0.0000  6 Cr 2.57-2.65
2 Ta 0.3400 0.8400 0.0000  6 Cr 2.57-2.65
3 Ta 0.6600 0.1600 0.0000  6 Cr 2.57-2.65
4 Ta 0.8400 0.6600 0.0000  6 Cr 2.57-2.65
5 Ti 0.0000 0.0000 0.5000  4 Cr 2.70
6 Ti 0.5000 0.5000 0.5000  4 Cr 2.70
7 Cr 0.1392 0.6392 0.5000  6 Ta 2.57-2.65, 2 Ti 2.70, 1 Cr 2.75
8 Cr 0.3608 0.1392 0.5000  6 Ta 2.57-2.65, 2 Ti 2.70, 1 Cr 2.75
9 Cr 0.6392 0.8608 0.5000  6 Ta 2.57-2.65, 2 Ti 2.70, 1 Cr 2.75
10 Cr 0.8608 0.3608 0.5000  6 Ta 2.57-2.65, 2 Ti 2.70, 1 Cr 2.75

***

Entry from Alexandria: crystalline ZrMnFe2 at its relaxed geometry (PBE).

Calculated values
formation enthalpy at 0 K = 97 meV per atom

a b c (Å): 3.0568 3.0568 5.9418
angles (deg): 90.00 90.00 90.00
With the nearest neighbours (Å) after each atom.
Element x y z (fractional)
1 Zr 0.0000 0.0000 0.0000  6 Fe 2.74-2.98, 4 Mn 2.76, 4 Zr 3.06
2 Mn 0.5000 0.5000 0.7123  5 Fe 2.50-2.55, 4 Zr 2.76
3 Fe 0.0000 0.0000 0.5023  4 Mn 2.50, 4 Fe 2.52
4 Fe 0.5000 0.5000 0.2837  4 Fe 2.52, 1 Mn 2.55, 4 Zr 2.74

***

Entry from Alexandria: crystalline WSe5 at its relaxed geometry (PBE).

Calculated values
relative energy among the computed polymorphs = 117.22 kJ/mol of atoms
formation energy (no corrections) = 1.261 eV per atom

a b c (Å): 5.5867 5.5867 5.5867
angles (deg): 60.00 60.00 60.00
With the nearest neighbours (Å) after each atom.
Element x y z (fractional)
1 W 0.0000 0.0000 0.0000  16 Se 3.27-3.42
2 Se 0.3737 0.3737 0.3737  6 Se 2.76-2.82
3 Se 0.3737 0.3737 0.8789  6 Se 2.76-2.82
4 Se 0.3737 0.8789 0.3737  6 Se 2.76-2.82
5 Se 0.7500 0.7500 0.7500  12 Se 3.28, 4 W 3.42
6 Se 0.8789 0.3737 0.3737  6 Se 2.76-2.82

***

Entry from Alexandria: crystalline RbPtF at its relaxed geometry (PBE).

Calculated values
relative energy among the computed polymorphs = 28.43 kJ/mol of atoms
formation energy (no corrections) = -1.052 eV per atom

a b c (Å): 12.4082 4.2080 7.0608
angles (deg): 90.00 119.83 90.00
With the nearest neighbours (Å) after each atom.
Element x y z (fractional)
1 Rb 0.0000 0.0000 0.0000  2 F 2.98
2 Rb 0.0000 0.5005 0.5000  4 F 2.79-2.80
3 Rb 0.5000 0.0005 0.5000  4 F 2.79-2.80
4 Rb 0.5000 0.5000 0.0000  2 F 2.98
5 Pt 0.2306 0.9999 0.5685  1 F 2.14
6 Pt 0.2694 0.4999 0.4315  1 F 2.14
7 Pt 0.7306 0.4999 0.5685  1 F 2.14
8 Pt 0.7694 0.9999 0.4315  1 F 2.14
9 F 0.1438 0.0011 0.7659  1 Pt 2.14
10 F 0.3562 0.5011 0.2341  1 Pt 2.14
11 F 0.6438 0.5011 0.7659  1 Pt 2.14
12 F 0.8562 0.0011 0.2341  1 Pt 2.14

***

Entry from Alexandria: crystalline Pu5Sb5Au2 at its relaxed geometry (PBE).

Calculated values
formation energy (no corrections) = -0.510 eV per atom

a b c (Å): 8.3978 8.3978 11.4297
angles (deg): 128.15 128.15 31.18
With the nearest neighbours (Å) after each atom.
Element x y z (fractional)
1 Pu 0.0000 0.0000 0.0000  4 Au 3.19, 6 Sb 3.27-3.39
2 Pu 0.0925 0.0925 0.4048  3 Au 3.20-3.53, 7 Sb 3.26-3.49, 1 Pu 3.40
3 Pu 0.1791 0.1791 0.8027  5 Sb 3.14-3.23, 1 Pu 3.40, 1 Au 3.42
4 Pu 0.8209 0.8209 0.1973  5 Sb 3.14-3.23, 1 Pu 3.40, 1 Au 3.42
5 Pu 0.9075 0.9075 0.5952  3 Au 3.20-3.53, 7 Sb 3.26-3.49, 1 Pu 3.40
6 Sb 0.2587 0.2587 0.3295  2 Au 2.74, 1 Sb 3.05
7 Sb 0.4176 0.4176 0.1118  1 Au 2.81, 1 Pu 3.14
8 Sb 0.5000 0.5000 0.5000  2 Sb 3.05, 4 Pu 3.26
9 Sb 0.5824 0.5824 0.8882  1 Au 2.81, 1 Pu 3.14
10 Sb 0.7413 0.7413 0.6705  2 Au 2.74, 1 Sb 3.05
11 Au 0.3625 0.3625 0.7464  3 Sb 2.74-2.81
12 Au 0.6375 0.6375 0.2536  3 Sb 2.74-2.81

***

Entry from Alexandria: crystalline In2CuTe at its relaxed geometry (PBE).

Calculated values
formation energy (no corrections) = 0.006 eV per atom

a b c (Å): 4.2722 4.2722 19.3129
angles (deg): 90.00 90.00 120.00
With the nearest neighbours (Å) after each atom.
Element x y z (fractional)
1 In 0.0000 0.0000 0.2326  3 Cu 2.78
2 In 0.0000 0.0000 0.7674  3 Cu 2.78
3 In 0.3333 0.6667 0.4341  3 Cu 2.78
4 In 0.3333 0.6667 0.8993  3 Cu 2.78
5 In 0.6667 0.3333 0.1007  3 Cu 2.78
6 In 0.6667 0.3333 0.5659  3 Cu 2.78
7 Cu 0.0000 0.0000 0.5000  6 In 2.78
8 Cu 0.3333 0.6667 0.1667  6 In 2.78
9 Cu 0.6667 0.3333 0.8333  6 In 2.78
10 Te 0.0000 0.0000 0.0000  6 In 3.14
11 Te 0.3333 0.6667 0.6667  6 In 3.14
12 Te 0.6667 0.3333 0.3333  6 In 3.14

***

Entry from Alexandria: crystalline CaReSb2 at its relaxed geometry (PBE).

Calculated values
relative energy among the computed polymorphs = 3.04 kJ/mol of atoms
formation energy (no corrections) = 0.004 eV per atom

a b c (Å): 9.1266 3.4798 7.0338
angles (deg): 90.00 108.75 90.00
With the nearest neighbours (Å) after each atom.
Element x y z (fractional)
1 Ca 0.0000 0.0000 0.0000  2 Re 3.22, 6 Sb 3.26-3.46, 2 Ca 3.48
2 Ca 0.5000 0.5000 0.0000  2 Re 3.22, 6 Sb 3.26-3.46, 2 Ca 3.48
3 Re 0.3345 0.0000 0.6039  5 Sb 2.63-2.70
4 Re 0.8345 0.5000 0.6039  5 Sb 2.63-2.70
5 Sb 0.1345 0.5000 0.6642  3 Re 2.63-2.65
6 Sb 0.2884 0.5000 0.2961  2 Re 2.70
7 Sb 0.6345 0.0000 0.6642  3 Re 2.63-2.65
8 Sb 0.7884 0.0000 0.2961  2 Re 2.70

***

Entry from Alexandria: crystalline KRbSr2I6 at its relaxed geometry (PBE).

Calculated values
formation energy (no corrections) = -1.610 eV per atom

a b c (Å): 9.0708 9.0708 9.0708
angles (deg): 58.08 58.08 58.08
With the nearest neighbours (Å) after each atom.
Element x y z (fractional)
1 K 0.0000 0.0000 0.0000  6 I 3.57-3.67
2 Rb 0.4936 0.4936 0.4936  6 I 3.67-3.83
3 Sr 0.2075 0.2075 0.2075  6 I 3.29-3.33
4 Sr 0.7041 0.7041 0.7041  6 I 3.29-3.32
5 I 0.0545 0.8555 0.4354  2 Sr 3.29-3.33, 1 K 3.67, 1 Rb 3.67
6 I 0.3386 0.5711 0.9374  2 Sr 3.29-3.32, 1 K 3.57
7 I 0.4354 0.0545 0.8555  2 Sr 3.29-3.33, 1 K 3.67, 1 Rb 3.67
8 I 0.5711 0.9374 0.3386  2 Sr 3.29-3.32, 1 K 3.57
9 I 0.8555 0.4354 0.0545  2 Sr 3.29-3.33, 1 K 3.67, 1 Rb 3.67
10 I 0.9374 0.3386 0.5711  2 Sr 3.29-3.32, 1 K 3.57

***

Entry from Alexandria: crystalline CeTmSn2 at its relaxed geometry (PBE).

Calculated values
formation enthalpy at 0 K = -595 meV per atom

a b c (Å): 4.8931 4.8931 4.4442
angles (deg): 90.00 90.00 90.00
With the nearest neighbours (Å) after each atom.
Element x y z (fractional)
1 Ce 0.0000 0.0000 0.0000  8 Sn 3.31, 4 Tm 3.46
2 Tm 0.5000 0.5000 0.0000  8 Sn 3.31, 4 Ce 3.46
3 Sn 0.0000 0.5000 0.5000  4 Ce 3.31, 4 Tm 3.31, 4 Sn 3.46
4 Sn 0.5000 0.0000 0.5000  4 Ce 3.31, 4 Tm 3.31, 4 Sn 3.46

***

Entry from Alexandria: crystalline TbY2Ni at its relaxed geometry (PBE).

Calculated values
relative energy among the computed polymorphs = 14.79 kJ/mol of atoms
formation enthalpy at 0 K = -85 meV per atom

a b c (Å): 3.8087 3.8087 26.8234
angles (deg): 90.00 90.00 120.00
With the nearest neighbours (Å) after each atom.
Element x y z (fractional)
1 Tb 0.0000 0.0000 0.0000  6 Y 3.58-3.66, 6 Tb 3.81
2 Tb 0.3333 0.6667 0.6667  6 Y 3.58-3.66, 6 Tb 3.81
3 Tb 0.6667 0.3333 0.3333  6 Y 3.58-3.66, 6 Tb 3.81
4 Y 0.0000 0.0000 0.2280  3 Ni 2.71
5 Y 0.0000 0.0000 0.4424  3 Ni 2.73
6 Y 0.3333 0.6667 0.1091  3 Ni 2.73
7 Y 0.3333 0.6667 0.8947  3 Ni 2.71
8 Y 0.6667 0.3333 0.5613  3 Ni 2.71
9 Y 0.6667 0.3333 0.7758  3 Ni 2.73
10 Ni 0.0000 0.0000 0.8359  6 Y 2.71-2.73
11 Ni 0.3333 0.6667 0.5025  6 Y 2.71-2.73
12 Ni 0.6667 0.3333 0.1692  6 Y 2.71-2.73

***

Entry from Alexandria: crystalline GdAg2Sn at its relaxed geometry (PBE).

Calculated values
formation enthalpy at 0 K = -294 meV per atom

a b c (Å): 4.4911 4.4911 4.5252
angles (deg): 90.00 90.00 90.00
With the nearest neighbours (Å) after each atom.
Element x y z (fractional)
1 Gd 0.0000 0.0000 0.0000  4 Sn 3.18, 8 Ag 3.19
2 Ag 0.0000 0.5000 0.5000  4 Ag 3.18, 4 Gd 3.19, 4 Sn 3.19
3 Ag 0.5000 0.0000 0.5000  4 Ag 3.18, 4 Gd 3.19, 4 Sn 3.19
4 Sn 0.5000 0.5000 0.0000  4 Gd 3.18, 8 Ag 3.19

***

no.,calculated total energy (eV per cell)
1,-21.86
2,-98.83
3,-34.26
4,-22.81
5,-48.14
6,-104.95
7,-38.07
8,-45.35
9,-30.83
10,-20.79
11,-71.04
12,-24.96